A plane-wave DFT calculation with PBE-GGA was carried out for a relaxed structure of Ba4AsO2.

## Properties
Its total magnetization is 3.30 μB/cell. The calculation puts the uncorrected formation energy at -1.7029 eV per atom. The calculation puts the uncorrected energy at -4.88 eV per atom.

```
data_Ba4AsO2
_chemical_formula_sum 'Ba16 As4 O8'
_cell_length_a 4.3582
_cell_length_b 13.6458
_cell_length_c 13.6219
_cell_angle_alpha 90.00
_cell_angle_beta 90.00
_cell_angle_gamma 90.00
_space_group_name_H-M_alt 'C m c m'
_space_group_IT_number 63
_space_group_name_Hall '-C 2c 2'
loop_
_atom_site_label
_atom_site_type_symbol
_atom_site_fract_x
_atom_site_fract_y
_atom_site_fract_z
Ba1 Ba 0.0000 0.0000 0.0000
Ba2 Ba 0.0000 0.2712 0.1088
Ba3 Ba 0.0000 0.4309 0.7500
As1 As 0.0000 0.1106 0.7500
O1 O 0.0000 0.3671 0.5537
```